A plane-wave DFT calculation with PBE was carried out for a relaxed structure of NaPaTl2.

Lattice parameters (Å, degrees): 5.785 5.785 3.192 90.00 90.00 90.00
Fractional positions:
Na: 0.000 0.000 0.000
Pa: 0.500 0.500 0.000
Tl: 0.000 0.500 0.500
Tl: 0.500 0.000 0.500

## Properties
**Total magnetic moment**: 0.012 μB/cell
**E_tot**: -3.803 eV/atom
**Distance to the lowest polymorph of the same formula**: 0 meV per atom
**Symmetry**: P4/mmm (123)
**Energy of formation from the pure elements**: 0.3 eV per formula unit

A plane-wave DFT calculation with PBE was carried out for a relaxed structure of NaPaZn2.

Lattice parameters (Å, degrees): 3.098 3.098 8.868 90.00 90.00 90.00
Fractional positions:
Na: 0.000 0.000 0.000
Pa: 0.000 0.000 0.500
Zn: 0.500 0.500 0.257
Zn: 0.500 0.500 0.743

## Properties
**Total magnetic moment**: 0.013 μB/cell
**E_tot**: -3.250 eV/atom
**Symmetry**: P4/mmm (123)
**Energy of formation from the pure elements**: 0.4 eV per formula unit